First-principles (PBE) data for a relaxed K5Sb crystal, as listed in Alexandria.

Results
Symmetry   No. 8
Total DFT energy (no corrections)   -1.77 eV/atom
Uncorrected formation energy   -0.172 eV/atom
Density   1.8 g/cm3
N(E_F)   1.9 states/eV/f.u.
ΔE to the lowest computed polymorph   8 meV/atom

Lattice parameters (Å, degrees): 6.5294 6.5294 9.1209 100.16 100.16 50.97
Fractional positions:
K1 0.0000 0.0000 0.0000
K2 0.0337 0.0337 0.5993
K3 0.3640 0.3640 0.2163
K4 0.6899 0.6899 0.8709
K5 0.7293 0.7293 0.4679
Sb1 0.3602 0.3602 0.7484


First-principles (PBE) data for a relaxed Tb12PrTh2 crystal, as listed in Alexandria.

Results
Symmetry   No. 12
Total DFT energy (no corrections)   -4.90 eV/atom
Density   8.5 g/cm3
DFT formation energy   0.116 eV per atom
N(E_F)   21.1 states/eV/f.u.

Lattice parameters (Å, degrees): 6.6307 6.6307 24.7032 92.25 92.25 115.17
Fractional positions:
Tb1 0.0508 0.5538 0.2026
Tb2 0.0761 0.5910 0.3307
Tb3 0.1283 0.6473 0.5547
Tb4 0.1550 0.1550 0.5681
Tb5 0.2137 0.2137 0.8623
Tb6 0.2306 0.7308 0.9254
Tb7 0.2692 0.7694 0.0746
Tb8 0.2852 0.2852 0.1378
Tb9 0.3527 0.8717 0.4453
Tb10 0.3580 0.3580 0.4145
Tb11 0.4090 0.9239 0.6693
Tb12 0.4462 0.9492 0.7974
Tb13 0.5538 0.0508 0.2026
Tb14 0.5910 0.0761 0.3307
Tb15 0.6420 0.6420 0.5855
Tb16 0.6473 0.1283 0.5547
Tb17 0.7148 0.7148 0.8622
Tb18 0.7308 0.2306 0.9254
Tb19 0.7694 0.2692 0.0746
Tb20 0.7863 0.7863 0.1377
Tb21 0.8450 0.8450 0.4319
Tb22 0.8717 0.3527 0.4453
Tb23 0.9239 0.4090 0.6693
Tb24 0.9492 0.4462 0.7974
Pr1 0.2499 0.2499 0.0000
Pr2 0.7501 0.7501 0.0000
Th1 0.0761 0.0761 0.2720
Th2 0.4375 0.4375 0.7294
Th3 0.5625 0.5625 0.2706
Th4 0.9239 0.9239 0.7280


First-principles (PBE) data for a relaxed CaHgSe2 crystal, as listed in Alexandria.

Results
Symmetry   No. 166
Total DFT energy (no corrections)   -3.27 eV/atom
Uncorrected formation energy   -0.955 eV/atom
Density   6.4 g/cm3

Lattice parameters (Å, degrees): 7.0765 7.0765 7.0765 34.77 34.77 34.77
Fractional positions:
Ca1 0.0000 0.0000 0.0000
Hg1 0.5000 0.5000 0.5000
Se1 0.2475 0.2475 0.2475
Se2 0.7525 0.7525 0.7525


First-principles (PBE) data for a relaxed In2OsPb crystal, as listed in Alexandria.

Results
Symmetry   No. 166
Total DFT energy (no corrections)   -4.64 eV/atom
Density   11.3 g/cm3
DFT formation energy   0.466 eV per atom
N(E_F)   2.9 states/eV/f.u.

Lattice parameters (Å, degrees): 10.5372 10.5372 10.5372 17.48 17.48 17.48
Fractional positions:
In1 0.2342 0.2342 0.2342
In2 0.7658 0.7658 0.7658
Os1 0.5000 0.5000 0.5000
Pb1 0.0000 0.0000 0.0000


First-principles (PBE) data for a relaxed Cs3HfCl7 crystal, as listed in Alexandria.

Results
Symmetry   No. 127
Total DFT energy (no corrections)   -4.31 eV/atom
Uncorrected formation energy   -1.998 eV/atom
Density   3.4 g/cm3
N(E_F)   0.0 states/eV/f.u.

Lattice parameters (Å, degrees): 10.3982 10.3982 7.4126 90.00 90.00 90.00
Fractional positions:
Cs1 0.0000 0.0000 0.0000
Cs2 0.1806 0.3194 0.5000
Cs3 0.3194 0.8194 0.5000
Cs4 0.5000 0.5000 0.0000
Cs5 0.6806 0.1806 0.5000
Cs6 0.8194 0.6806 0.5000
Hf1 0.0000 0.5000 0.0000
Hf2 0.5000 0.0000 0.0000
Cl1 0.0000 0.0000 0.5000
Cl2 0.1168 0.6168 0.2373
Cl3 0.1168 0.6168 0.7627
Cl4 0.1673 0.3327 0.0000
Cl5 0.3327 0.8327 0.0000
Cl6 0.3832 0.1168 0.2373
Cl7 0.3832 0.1168 0.7627
Cl8 0.5000 0.5000 0.5000
Cl9 0.6168 0.8832 0.2373
Cl10 0.6168 0.8832 0.7627
Cl11 0.6673 0.1673 0.0000
Cl12 0.8327 0.6673 0.0000
Cl13 0.8832 0.3832 0.2373
Cl14 0.8832 0.3832 0.7627


First-principles (PBE) data for a relaxed PrSc3Al8 crystal, as listed in Alexandria.

Results
Symmetry   No. 160
Total DFT energy (no corrections)   -4.94 eV/atom
Density   3.5 g/cm3
DFT formation energy   -0.465 eV per atom
N(E_F)   9.5 states/eV/f.u.
ΔE to the lowest computed polymorph   0 meV/atom

Lattice parameters (Å, degrees): 9.5176 9.5176 9.5176 33.21 33.21 33.21
Fractional positions:
Pr1 0.0000 0.0000 0.0000
Sc1 0.1265 0.1265 0.1265
Sc2 0.5013 0.5013 0.5013
Sc3 0.6219 0.6219 0.6219
Al1 0.0616 0.0616 0.5585
Al2 0.0616 0.5585 0.0616
Al3 0.0675 0.5649 0.5649
Al4 0.3121 0.3121 0.3121
Al5 0.5585 0.0616 0.0616
Al6 0.5649 0.0675 0.5649
Al7 0.5649 0.5649 0.0675
Al8 0.8134 0.8134 0.8134


First-principles (PBE) data for a relaxed RbNaPdI2 crystal, as listed in Alexandria.

Results
Symmetry   No. 123
Total DFT energy (no corrections)   -2.78 eV/atom
Uncorrected formation energy   -0.666 eV/atom
Density   4.4 g/cm3
N(E_F)   0.8 states/eV/f.u.

Lattice parameters (Å, degrees): 5.8209 5.8209 5.2473 90.00 90.00 90.00
Fractional positions:
Rb1 0.0000 0.0000 0.0000
Na1 0.5000 0.5000 0.0000
Pd1 0.5000 0.5000 0.5000
I1 0.0000 0.5000 0.5000
I2 0.5000 0.0000 0.5000